1.
VASP calculation (PBE) on DyTmU after structural relaxation.

The total energy comes out at -6.57 eV per atom. Its crystal system is monoclinic. The formation energy comes out at 213 meV per atom. Its total magnetization is 1.494 μB/f.u.

a = 16.977 Å, b = 3.618 Å, c = 5.606 Å
α = 90.00°, β = 98.15°, γ = 90.00°
Space group C2/m (No. 12)
Unique sites:
Dy: 0.069 0.000 0.289 (multiplicity 4)
Tm: 0.112 0.500 0.807 (multiplicity 4)
U: 0.240 0.500 0.340 (multiplicity 4)

2.
VASP calculation (PBE) on Li6ZnBr8 after structural relaxation.

The total energy comes out at -3.12 eV per atom. The formation energy without anion corrections is -1376.9 meV/atom. Its crystal system is cubic. Its total magnetization is 0.000 μB/f.u.

a = 11.021 Å, b = 11.021 Å, c = 11.021 Å
α = 90.00°, β = 90.00°, γ = 90.00°
Space group Fm-3m (No. 225)
Unique sites:
Li: 0.000 0.250 0.250 (multiplicity 24)
Zn: 0.000 0.000 0.000 (multiplicity 4)
Br: 0.000 0.000 0.241 (multiplicity 24)
Br: 0.250 0.250 0.250 (multiplicity 8)

3.
VASP calculation (PBE) on Sr2LiInHg6 after structural relaxation.

The total energy comes out at -1.27 eV per atom. Its crystal system is triclinic. The formation energy comes out at -288 meV per atom. Its total magnetization is 0.000 μB/f.u.

a = 6.585 Å, b = 6.875 Å, c = 7.024 Å
α = 76.63°, β = 75.31°, γ = 74.15°
Space group P-1 (No. 2)
Unique sites:
Sr: 0.211 0.258 0.277 (multiplicity 2)
Li: 0.000 0.000 0.000 (multiplicity 1)
In: 0.500 0.500 0.500 (multiplicity 1)
Hg: 0.157 0.772 0.308 (multiplicity 2)
Hg: 0.274 0.646 0.884 (multiplicity 2)
Hg: 0.346 0.135 0.773 (multiplicity 2)

4.
VASP calculation (PBE) on Rb2FeTc after structural relaxation.

The total energy comes out at -3.26 eV per atom. Its crystal system is cubic. The energy above the most stable polymorph in this dataset comes out at 0.584 eV per atom. The formation energy comes out at 1926 meV per atom. Its total magnetization is 7.050 μB/f.u.

a = 8.364 Å, b = 8.364 Å, c = 8.364 Å
α = 90.00°, β = 90.00°, γ = 90.00°
Space group Fm-3m (No. 225)
Unique sites:
Rb: 0.250 0.250 0.250 (multiplicity 8)
Fe: 0.000 0.000 0.000 (multiplicity 4)
Tc: 0.000 0.000 0.500 (multiplicity 4)

5.
VASP calculation (PBE) on Ho5Ag3 after structural relaxation.

The total energy comes out at -4.15 eV per atom. Its crystal system is tetragonal. The formation energy comes out at -219 meV per atom. Its total magnetization is 1.085 μB/f.u.

a = 3.582 Å, b = 3.582 Å, c = 16.103 Å
α = 90.00°, β = 90.00°, γ = 90.00°
Space group P4/mmm (No. 123)
Unique sites:
Ho: 0.000 0.000 0.000 (multiplicity 1)
Ho: 0.000 0.000 0.228 (multiplicity 2)
Ho: 0.500 0.500 0.384 (multiplicity 2)
Ag: 0.000 0.000 0.500 (multiplicity 1)
Ag: 0.500 0.500 0.113 (multiplicity 2)

6.
VASP calculation (PBE) on NpUTc after structural relaxation.

The total energy comes out at -11.55 eV per atom. Its crystal system is tetragonal. The energy above the most stable polymorph in this dataset comes out at 0.018 eV per atom. The formation energy comes out at -19 meV per atom. Its total magnetization is 0.000 μB/f.u.

a = 3.320 Å, b = 3.320 Å, c = 9.723 Å
α = 90.00°, β = 90.00°, γ = 90.00°
Space group I4mm (No. 107)
Unique sites:
Np: 0.000 0.000 0.000 (multiplicity 2)
U: 0.000 0.000 0.633 (multiplicity 2)
Tc: 0.000 0.000 0.319 (multiplicity 2)

7.
VASP calculation (PBE) on DySiPd after structural relaxation.

The total energy comes out at -6.01 eV per atom. The formation energy without anion corrections is -937.9 meV/atom. Its crystal system is monoclinic. Its total magnetization is 0.000 μB/f.u.

a = 10.351 Å, b = 4.248 Å, c = 7.001 Å
α = 90.00°, β = 132.25°, γ = 90.00°
Space group C2/m (No. 12)
Unique sites:
Dy: 0.051 0.000 0.311 (multiplicity 4)
Si: 0.152 0.500 0.099 (multiplicity 4)
Pd: 0.182 0.500 0.745 (multiplicity 4)

8.
VASP calculation (PBE) on Ti5Zn4Ni2 after structural relaxation.

The total energy comes out at -5.40 eV per atom. Its crystal system is orthorhombic. The formation energy comes out at -293 meV per atom. Its total magnetization is 0.741 μB/f.u.

a = 6.842 Å, b = 15.905 Å, c = 3.004 Å
α = 90.00°, β = 90.00°, γ = 90.00°
Space group Pbam (No. 55)
Unique sites:
Ti: 0.000 0.000 0.000 (multiplicity 2)
Ti: 0.136 0.424 0.000 (multiplicity 4)
Ti: 0.241 0.718 0.000 (multiplicity 4)
Zn: 0.063 0.850 0.500 (multiplicity 4)
Zn: 0.203 0.570 0.500 (multiplicity 4)
Ni: 0.050 0.307 0.500 (multiplicity 4)

9.
VASP calculation (PBE) on SrRu2Rh after structural relaxation.

The total energy comes out at -6.44 eV per atom. Its crystal system is monoclinic. The energy above the most stable polymorph in this dataset comes out at 0.084 eV per atom. The formation energy comes out at 459 meV per atom. Its total magnetization is 0.000 μB/f.u.

a = 10.756 Å, b = 2.864 Å, c = 5.055 Å
α = 90.00°, β = 108.52°, γ = 90.00°
Space group C2/m (No. 12)
Unique sites:
Sr: 0.000 0.000 0.000 (multiplicity 2)
Ru: 0.219 0.000 0.678 (multiplicity 4)
Rh: 0.000 0.500 0.500 (multiplicity 2)

10.
VASP calculation (PBE) on K2RbVS4 after structural relaxation.

The total energy comes out at -4.66 eV per atom. The formation energy without anion corrections is -1061.3 meV/atom. Its crystal system is monoclinic. Its total magnetization is 0.000 μB/f.u.

a = 14.452 Å, b = 10.634 Å, c = 7.512 Å
α = 90.00°, β = 120.44°, γ = 90.00°
Space group C2 (No. 5)
Unique sites:
K: 0.000 0.000 0.000 (multiplicity 2)
K: 0.000 0.019 0.500 (multiplicity 2)
K: 0.246 0.745 0.563 (multiplicity 4)
Rb: 0.000 0.489 0.500 (multiplicity 2)
Rb: 0.000 0.540 0.000 (multiplicity 2)
V: 0.244 0.877 0.990 (multiplicity 4)
S: 0.095 0.773 0.811 (multiplicity 4)
S: 0.108 0.271 0.897 (multiplicity 4)
S: 0.244 0.963 0.256 (multiplicity 4)
S: 0.245 0.016 0.780 (multiplicity 4)

11.
VASP calculation (PBE) on MnTe2P after structural relaxation.

The total energy comes out at -5.05 eV per atom. The formation energy without anion corrections is 161.5 meV/atom. Its crystal system is tetragonal. Its total magnetization is 1.907 μB/f.u.

a = 3.086 Å, b = 3.086 Å, c = 9.472 Å
α = 90.00°, β = 90.00°, γ = 90.00°
Space group P4mm (No. 99)
Unique sites:
Mn: 0.000 0.000 0.000 (multiplicity 1)
Te: 0.000 0.000 0.438 (multiplicity 1)
Te: 0.500 0.500 0.811 (multiplicity 1)
P: 0.500 0.500 0.113 (multiplicity 1)

12.
VASP calculation (PBE) on La6SiRh2Br3 after structural relaxation.

The total energy comes out at -5.67 eV per atom. The formation energy without anion corrections is -1108.0 meV/atom. Its crystal system is monoclinic. Its total magnetization is 0.002 μB/f.u.

a = 7.416 Å, b = 12.833 Å, c = 8.106 Å
α = 90.00°, β = 107.83°, γ = 90.00°
Space group C2/m (No. 12)
Unique sites:
La: 0.223 0.000 0.203 (multiplicity 4)
La: 0.239 0.328 0.204 (multiplicity 8)
Si: 0.000 0.500 0.000 (multiplicity 2)
Rh: 0.000 0.167 0.000 (multiplicity 4)
Br: 0.000 0.000 0.500 (multiplicity 2)
Br: 0.000 0.338 0.500 (multiplicity 4)

> Among the records above, which one has the highest total energy?

Sr2LiInHg6

> total energy of number 2 (Li6ZnBr8)?

-3.12 eV per atom